Entry from the Alexandria database: a relaxed structure of Dy2MgIn9 (GGA-PBE).

Calculated values
Density of states at the Fermi level ... 0.290 states/eV per atom
Total DFT energy (no corrections) ... -3.228 eV per atom
Energy of formation from the pure elements ... -274 meV per atom
Volume ... 299.1 Å³ per cell
Space-group type ... P4/mmm (123)

a = 4.6461 Å, b = 4.6461 Å, c = 13.8553 Å
α = 90.00°, β = 90.00°, γ = 90.00°
Closest atoms and distances in Å follow each position.
Positions (direct):
1 Dy 0.0000 0.0000 0.1657  12 In 3.27-3.33
2 Dy 0.0000 0.0000 0.8343  12 In 3.27-3.33
3 Mg 0.0000 0.0000 0.5000  12 In 3.23-3.29
4 In 0.0000 0.5000 0.0000  4 Dy 3.27, 8 In 3.28-3.29
5 In 0.0000 0.5000 0.3384  8 In 3.23-3.32, 2 Mg 3.23, 2 Dy 3.33
6 In 0.0000 0.5000 0.6616  8 In 3.23-3.32, 2 Mg 3.23, 2 Dy 3.33
7 In 0.5000 0.0000 0.0000  4 Dy 3.27, 8 In 3.28-3.29
8 In 0.5000 0.0000 0.3384  8 In 3.23-3.32, 2 Mg 3.23, 2 Dy 3.33
9 In 0.5000 0.0000 0.6616  8 In 3.23-3.32, 2 Mg 3.23, 2 Dy 3.33
10 In 0.5000 0.5000 0.1671  8 In 3.28-3.32, 4 Dy 3.29
11 In 0.5000 0.5000 0.5000  8 In 3.23, 4 Mg 3.29
12 In 0.5000 0.5000 0.8329  8 In 3.28-3.32, 4 Dy 3.29